# BaCu8 | Alexandria via LeMat-Bulk | PBE | relaxed
# Energy of formation from the pure elements in eV per formula unit: 2.472
# Total energy in eV per atom: -3.5800
data_BaCu8
_cell_length_a 8.368
_cell_length_b 8.368
_cell_length_c 4.071
_cell_angle_alpha 90.00
_cell_angle_beta 90.00
_cell_angle_gamma 90.00
_space_group_name_H-M_alt 'I 4/m m m'
_space_group_IT_number 139
_space_group_name_Hall '-I 4 2'
loop_
_atom_site_label
_atom_site_type_symbol
_atom_site_fract_x
_atom_site_fract_y
_atom_site_fract_z
Ba1 Ba 0.000 0.000 0.000
Cu1 Cu 0.000 0.356 0.000
Cu2 Cu 0.198 0.198 0.500

---

# BaCu2 | Alexandria via LeMat-Bulk | PBE | relaxed
# Energy of formation from the pure elements in eV per formula unit: 0.173
# Total energy in eV per atom: -3.3140
data_BaCu2
_cell_length_a 4.056
_cell_length_b 6.551
_cell_length_c 11.376
_cell_angle_alpha 90.00
_cell_angle_beta 90.00
_cell_angle_gamma 90.00
_space_group_name_H-M_alt 'I m m m'
_space_group_IT_number 71
_space_group_name_Hall '-I 2 2'
loop_
_atom_site_label
_atom_site_type_symbol
_atom_site_fract_x
_atom_site_fract_y
_atom_site_fract_z
Ba1 Ba 0.000 0.000 0.170
Cu1 Cu 0.000 0.182 0.500
Cu2 Cu 0.000 0.500 0.102

---

# Ba5Cu4 | Alexandria via LeMat-Bulk | PBE | relaxed
# Energy of formation from the pure elements in eV per formula unit: 0.895
# Total energy in eV per atom: -2.7893
data_Ba5Cu4
_cell_length_a 9.7788
_cell_length_b 9.7788
_cell_length_c 7.8011
_cell_angle_alpha 90.00
_cell_angle_beta 90.00
_cell_angle_gamma 120.00
_space_group_name_H-M_alt 'P 63/m c m'
_space_group_IT_number 193
_space_group_name_Hall '-P 6c 2'
loop_
_atom_site_label
_atom_site_type_symbol
_atom_site_fract_x
_atom_site_fract_y
_atom_site_fract_z
Ba1 Ba 0.0000 0.2588 0.2500
Ba2 Ba 0.3333 0.6667 0.0000
Cu1 Cu 0.0000 0.0000 0.0000
Cu2 Cu 0.0000 0.3961 0.7500

---

# Ba5Cu | Alexandria via LeMat-Bulk | PBE | relaxed
# Energy of formation from the pure elements in eV per formula unit: 0.889
# E above lowest polymorph in eV per formula unit: 0.61
# Total energy in eV per atom: -2.1368
data_Ba5Cu
_cell_length_a 6.832
_cell_length_b 4.646
_cell_length_c 19.620
_cell_angle_alpha 90.00
_cell_angle_beta 90.00
_cell_angle_gamma 90.00
_space_group_name_H-M_alt 'A m m 2'
_space_group_IT_number 38
loop_
_space_group_symop_operation_xyz
'x,y,z'
'-x,-y,z'
'-x,y,z'
'x,-y,z'
'x,y+1/2,z+1/2'
'-x,-y+1/2,z+1/2'
'-x,y+1/2,z+1/2'
'x,-y+1/2,z+1/2'
loop_
_atom_site_label
_atom_site_type_symbol
_atom_site_fract_x
_atom_site_fract_y
_atom_site_fract_z
Ba1 Ba 0.000 0.000 0.000
Ba2 Ba 0.000 0.000 0.250
Ba3 Ba 0.500 0.000 0.124
Ba4 Ba 0.500 0.000 0.453
Ba5 Ba 0.500 0.000 0.793
Cu1 Cu 0.000 0.000 0.625

---

# BaCu2 | Alexandria via LeMat-Bulk | PBE | relaxed
# Energy of formation from the pure elements in eV per formula unit: -0.052
# Total energy in eV per atom: -3.3890
data_BaCu2
_cell_length_a 4.464
_cell_length_b 4.464
_cell_length_c 15.175
_cell_angle_alpha 90.00
_cell_angle_beta 90.00
_cell_angle_gamma 90.00
_space_group_name_H-M_alt 'I 41/a m d'
_space_group_IT_number 141
loop_
_space_group_symop_operation_xyz
'x,y,z'
'-x,-y,-z'
'-y+1/4,x+3/4,z+1/4'
'y+1/4,-x+3/4,-z+1/4'
'-x+1/2,-y,z+1/2'
'x+1/2,y,-z+1/2'
'y+1/4,-x+1/4,z+3/4'
'-y+1/4,x+1/4,-z+3/4'
'x,-y,-z'
'-x,y,z'
'-y+1/4,-x+1/4,-z+3/4'
'y+1/4,x+1/4,z+3/4'
'-x+1/2,y,-z+1/2'
'x+1/2,-y,z+1/2'
'y+1/4,x+3/4,-z+1/4'
'-y+1/4,-x+3/4,z+1/4'
'x+1/2,y+1/2,z+1/2'
'-x+1/2,-y+1/2,-z+1/2'
'-y+3/4,x+1/4,z+3/4'
'y+3/4,-x+1/4,-z+3/4'
'-x,-y+1/2,z'
'x,y+1/2,-z'
'y+3/4,-x+3/4,z+1/4'
'-y+3/4,x+3/4,-z+1/4'
'x+1/2,-y+1/2,-z+1/2'
'-x+1/2,y+1/2,z+1/2'
'-y+3/4,-x+3/4,-z+1/4'
'y+3/4,x+3/4,z+1/4'
'-x,y+1/2,-z'
'x,-y+1/2,z'
'y+3/4,x+1/4,-z+3/4'
'-y+3/4,-x+1/4,z+3/4'
loop_
_atom_site_label
_atom_site_type_symbol
_atom_site_fract_x
_atom_site_fract_y
_atom_site_fract_z
Ba1 Ba 0.000 0.250 0.375
Cu1 Cu 0.000 0.250 0.792

---

# BaCu | Alexandria via LeMat-Bulk | PBE | relaxed
# Energy of formation from the pure elements in eV per formula unit: 0.186
# Total energy in eV per atom: -2.9163
data_BaCu
_cell_length_a 8.050
_cell_length_b 10.517
_cell_length_c 12.929
_cell_angle_alpha 90.00
_cell_angle_beta 90.00
_cell_angle_gamma 90.00
_space_group_name_H-M_alt 'F d d d'
_space_group_IT_number 70
loop_
_space_group_symop_operation_xyz
'x,y,z'
'-x,-y,-z'
'-x+1/4,-y+1/4,z'
'x+1/4,y+1/4,-z'
'x,-y+1/4,-z+1/4'
'-x,y+1/4,z+1/4'
'-x+1/4,y,-z+1/4'
'x+1/4,-y,z+1/4'
'x,y+1/2,z+1/2'
'-x,-y+1/2,-z+1/2'
'-x+1/4,-y+3/4,z+1/2'
'x+1/4,y+3/4,-z+1/2'
'x,-y+3/4,-z+3/4'
'-x,y+3/4,z+3/4'
'-x+1/4,y+1/2,-z+3/4'
'x+1/4,-y+1/2,z+3/4'
'x+1/2,y,z+1/2'
'-x+1/2,-y,-z+1/2'
'-x+3/4,-y+1/4,z+1/2'
'x+3/4,y+1/4,-z+1/2'
'x+1/2,-y+1/4,-z+3/4'
'-x+1/2,y+1/4,z+3/4'
'-x+3/4,y,-z+3/4'
'x+3/4,-y,z+3/4'
'x+1/2,y+1/2,z'
'-x+1/2,-y+1/2,-z'
'-x+3/4,-y+3/4,z'
'x+3/4,y+3/4,-z'
'x+1/2,-y+3/4,-z+1/4'
'-x+1/2,y+3/4,z+1/4'
'-x+3/4,y+1/2,-z+1/4'
'x+3/4,-y+1/2,z+1/4'
loop_
_atom_site_label
_atom_site_type_symbol
_atom_site_fract_x
_atom_site_fract_y
_atom_site_fract_z
Ba1 Ba 0.125 0.337 0.125
Cu1 Cu 0.030 0.375 0.875